Record 1
Ho8P3Se4O | PBE | optimized geometry

Computed properties:
**Formation energy from raw total energies**: -1834 meV per atom

abc: 7.8341 7.8341 19.8619
angles: 90.00 90.00 120.00
Last column: nearest neighbours and their distance in Å.
Space group R-3m (No. 166, hexagonal axes)
Asymmetric unit:
Ho  0.0000  0.0000  0.2423 [6 per cell]  3 P 2.72, 3 Se 2.90
Ho  0.0117  0.5059  0.2393 [18 per cell]  1 O 2.62, 2 P 2.72, 2 Se 2.90
P  0.0000  0.5000  0.5000 [9 per cell]  6 Ho 2.72
Se  0.0000  0.0000  0.0000 [3 per cell]  6 Ho 3.00
Se  0.0000  0.5000  0.0000 [9 per cell]  6 Ho 2.90
O  0.0000  0.0000  0.5000 [3 per cell]  6 Ho 2.62



Record 2
NdBeS2O8 | PBE | optimized geometry

Computed properties:
**Formation energy from raw total energies**: -1666 meV per atom

abc: 5.0850 5.0850 6.4714
angles: 90.00 90.00 120.00
Last column: nearest neighbours and their distance in Å.
Space group P-3m1 (No. 164)
Asymmetric unit:
Nd  0.0000  0.0000  0.0000 [1 per cell]  6 O 2.50
Be  0.0000  0.0000  0.5000 [1 per cell]  6 O 1.85
S  0.3333  0.6667  0.2689 [2 per cell]  4 O 1.52-1.54
O  0.1618  0.3236  0.3176 [6 per cell]  1 S 1.54
O  0.3333  0.6667  0.0341 [2 per cell]  1 S 1.52



Ρ (computed, g cm⁻³): 8.23 3.96